Compound: ZrHg2Au
Source: Alexandria
Functional: GGA-PBE
Structure: optimized geometry

Properties
polymorph energy (0 for the lowest one) = 0.060 eV/atom
energy = -25.649 eV/cell
magnetization = 0.0 μB/cell
ΔH_f (0 K) = -0.4 eV/f.u.

Geometry as CIF:
```
data_ZrHg2Au
_cell_length_a 9.520
_cell_length_b 3.273
_cell_length_c 5.654
_cell_angle_alpha 90.00
_cell_angle_beta 100.84
_cell_angle_gamma 90.00
_space_group_name_H-M_alt 'C 1 m 1'
_space_group_IT_number 8
_space_group_name_Hall 'C -2y'
loop_
_atom_site_label
_atom_site_fract_x
_atom_site_fract_y
_atom_site_fract_z
Zr1 0.000 0.000 0.000
Hg1 0.008 0.500 0.526
Hg2 0.252 0.500 0.273
Au1 0.259 0.000 0.795
```

---

Compound: ErInNiHg
Source: Alexandria
Functional: GGA-PBE
Structure: optimized geometry

Properties
energy = -57.752 eV/cell
magnetization = 0.0 μB/cell
ΔH_f (0 K) = -1.1 eV/f.u.

Geometry as CIF:
```
data_ErInNiHg
_cell_length_a 6.861
_cell_length_b 6.861
_cell_length_c 6.861
_cell_angle_alpha 90.00
_cell_angle_beta 90.00
_cell_angle_gamma 90.00
_space_group_name_H-M_alt 'F -4 3 m'
_space_group_IT_number 216
_space_group_name_Hall 'F -4 2 3'
loop_
_atom_site_label
_atom_site_fract_x
_atom_site_fract_y
_atom_site_fract_z
Er1 0.000 0.000 0.000
In1 0.000 0.000 0.500
Ni1 0.250 0.250 0.250
Hg1 0.250 0.250 0.750
```

---

Compound: Sb2Rh
Source: Alexandria
Functional: GGA-PBE
Structure: optimized geometry

Properties
energy = -65.124 eV/cell
magnetization = 0.0 μB/cell
E_form (uncorrected) = -0.23 eV/atom

Geometry as CIF:
```
data_Sb2Rh
_cell_length_a 3.278
_cell_length_b 3.278
_cell_length_c 25.702
_cell_angle_alpha 90.00
_cell_angle_beta 90.00
_cell_angle_gamma 90.00
_space_group_name_H-M_alt 'I 41/a m d'
_space_group_IT_number 141
loop_
_space_group_symop_operation_xyz
'x,y,z'
'-x,-y,-z'
'-y+1/4,x+3/4,z+1/4'
'y+1/4,-x+3/4,-z+1/4'
'-x+1/2,-y,z+1/2'
'x+1/2,y,-z+1/2'
'y+1/4,-x+1/4,z+3/4'
'-y+1/4,x+1/4,-z+3/4'
'x,-y,-z'
'-x,y,z'
'-y+1/4,-x+1/4,-z+3/4'
'y+1/4,x+1/4,z+3/4'
'-x+1/2,y,-z+1/2'
'x+1/2,-y,z+1/2'
'y+1/4,x+3/4,-z+1/4'
'-y+1/4,-x+3/4,z+1/4'
'x+1/2,y+1/2,z+1/2'
'-x+1/2,-y+1/2,-z+1/2'
'-y+3/4,x+1/4,z+3/4'
'y+3/4,-x+1/4,-z+3/4'
'-x,-y+1/2,z'
'x,y+1/2,-z'
'y+3/4,-x+3/4,z+1/4'
'-y+3/4,x+3/4,-z+1/4'
'x+1/2,-y+1/2,-z+1/2'
'-x+1/2,y+1/2,z+1/2'
'-y+3/4,-x+3/4,-z+1/4'
'y+3/4,x+3/4,z+1/4'
'-x,y+1/2,-z'
'x,-y+1/2,z'
'y+3/4,x+1/4,-z+3/4'
'-y+3/4,-x+1/4,z+3/4'
loop_
_atom_site_label
_atom_site_fract_x
_atom_site_fract_y
_atom_site_fract_z
Sb1 0.000 0.250 0.312
Rh1 0.000 0.250 0.875
```

---

Compound: Be3SnH
Source: Alexandria
Functional: GGA-PBE
Structure: optimized geometry

Properties
polymorph energy (0 for the lowest one) = 0.956 eV/atom
energy = -10.843 eV/cell
magnetization = 0.0 μB/cell

Geometry as CIF:
```
data_Be3SnH
_cell_length_a 4.618
_cell_length_b 4.618
_cell_length_c 4.618
_cell_angle_alpha 90.00
_cell_angle_beta 90.00
_cell_angle_gamma 90.00
_space_group_name_H-M_alt 'P m -3 m'
_space_group_IT_number 221
_space_group_name_Hall '-P 4 2 3'
loop_
_atom_site_label
_atom_site_fract_x
_atom_site_fract_y
_atom_site_fract_z
Be1 0.000 0.000 0.500
Sn1 0.000 0.000 0.000
H1 0.500 0.500 0.500
```

---

Compound: HoTmTe2O8
Source: Alexandria
Functional: GGA-PBE
Structure: optimized geometry

Properties
energy = -156.983 eV/cell
magnetization = 0.0 μB/cell
E_form (uncorrected) = -1.96 eV/atom

Geometry as CIF:
```
data_HoTmTe2O8
_cell_length_a 7.292
_cell_length_b 7.292
_cell_length_c 6.834
_cell_angle_alpha 90.00
_cell_angle_beta 90.00
_cell_angle_gamma 90.00
_space_group_name_H-M_alt 'I -4 m 2'
_space_group_IT_number 119
_space_group_name_Hall 'I -4 -2'
loop_
_atom_site_label
_atom_site_fract_x
_atom_site_fract_y
_atom_site_fract_z
Ho1 0.000 0.000 0.000
Tm1 0.000 0.500 0.250
Te1 0.000 0.000 0.500
Te2 0.000 0.500 0.750
O1 0.000 0.188 0.296
O2 0.000 0.315 0.954
```

---

Compound: Ce4Dy3Se8
Source: Alexandria
Functional: GGA-PBE
Structure: optimized geometry

Properties
polymorph energy (0 for the lowest one) = 0.000 eV/atom
energy = -185.213 eV/cell
magnetization = 9.4 μB/cell
E_form (uncorrected) = -1.81 eV/atom

Geometry as CIF:
```
data_Ce4Dy3Se8
_cell_length_a 11.689
_cell_length_b 11.698
_cell_length_c 8.265
_cell_angle_alpha 90.00
_cell_angle_beta 134.90
_cell_angle_gamma 90.00
_space_group_name_H-M_alt 'C 1 2/m 1'
_space_group_IT_number 12
_space_group_name_Hall '-C 2y'
loop_
_atom_site_label
_atom_site_fract_x
_atom_site_fract_y
_atom_site_fract_z
Ce1 0.000 0.000 0.000
Ce2 0.000 0.500 0.500
Ce3 0.250 0.250 0.000
Dy1 0.000 0.500 0.000
Dy2 0.250 0.250 0.500
Se1 0.000 0.244 0.500
Se2 0.000 0.254 0.000
Se3 0.248 0.000 0.507
Se4 0.248 0.000 0.989
```

---

Compound: Ca3Al2N4
Source: Alexandria
Functional: GGA-PBE
Structure: optimized geometry

Properties
polymorph energy (0 for the lowest one) = 0.001 eV/atom
energy = -228.087 eV/cell
magnetization = 0.0 μB/cell
E_form (uncorrected) = -1.14 eV/atom

Geometry as CIF:
```
data_Ca3Al2N4
_cell_length_a 9.609
_cell_length_b 5.830
_cell_length_c 9.583
_cell_angle_alpha 90.00
_cell_angle_beta 111.64
_cell_angle_gamma 90.00
_space_group_name_H-M_alt 'P 1 21/c 1'
_space_group_IT_number 14
_space_group_name_Hall '-P 2ybc'
loop_
_atom_site_label
_atom_site_fract_x
_atom_site_fract_y
_atom_site_fract_z
Ca1 0.035 0.154 0.171
Ca2 0.318 0.619 0.900
Ca3 0.448 0.094 0.815
Al1 0.119 0.611 0.109
Al2 0.241 0.142 0.989
N1 0.102 0.102 0.449
N2 0.199 0.010 0.799
N3 0.203 0.597 0.607
N4 0.439 0.239 0.563
```

---

Compound: AcScAlPd2
Source: Alexandria
Functional: GGA-PBE
Structure: optimized geometry

Properties
energy = -57.068 eV/cell
magnetization = 0.0 μB/cell
ΔH_f (0 K) = -4.0 eV/f.u.

Geometry as CIF:
```
data_AcScAlPd2
_cell_length_a 4.292
_cell_length_b 4.292
_cell_length_c 12.180
_cell_angle_alpha 90.00
_cell_angle_beta 90.00
_cell_angle_gamma 90.00
_space_group_name_H-M_alt 'I -4 m 2'
_space_group_IT_number 119
_space_group_name_Hall 'I -4 -2'
loop_
_atom_site_label
_atom_site_fract_x
_atom_site_fract_y
_atom_site_fract_z
Ac1 0.000 0.000 0.000
Sc1 0.000 0.500 0.750
Al1 0.000 0.500 0.250
Pd1 0.000 0.000 0.384
```

---

Compound: NaMg2Pa3N6
Source: Alexandria
Functional: GGA-PBE
Structure: optimized geometry

Properties
energy = -193.484 eV/cell
magnetization = 3.3 μB/cell
E_form (uncorrected) = -1.15 eV/atom

Geometry as CIF:
```
data_NaMg2Pa3N6
_cell_length_a 15.115
_cell_length_b 3.470
_cell_length_c 6.661
_cell_angle_alpha 90.00
_cell_angle_beta 98.62
_cell_angle_gamma 90.00
_space_group_name_H-M_alt 'C 1 2/m 1'
_space_group_IT_number 12
_space_group_name_Hall '-C 2y'
loop_
_atom_site_label
_atom_site_fract_x
_atom_site_fract_y
_atom_site_fract_z
Na1 0.000 0.000 0.000
Mg1 0.180 0.500 0.349
Pa1 0.000 0.000 0.500
Pa2 0.165 0.500 0.840
N1 0.012 0.500 0.722
N2 0.165 0.000 0.586
N3 0.181 0.000 0.093
```

---

Compound: Ac4TmSe5
Source: Alexandria
Functional: GGA-PBE
Structure: optimized geometry

Properties
energy = -112.092 eV/cell
magnetization = 0.0 μB/cell
E_form (uncorrected) = -1.77 eV/atom

Geometry as CIF:
```
data_Ac4TmSe5
_cell_length_a 4.398
_cell_length_b 4.398
_cell_length_c 31.003
_cell_angle_alpha 90.00
_cell_angle_beta 90.00
_cell_angle_gamma 90.00
_space_group_name_H-M_alt 'I 4/m m m'
_space_group_IT_number 139
_space_group_name_Hall '-I 4 2'
loop_
_atom_site_label
_atom_site_fract_x
_atom_site_fract_y
_atom_site_fract_z
Ac1 0.000 0.000 0.100
Ac2 0.000 0.000 0.305
Tm1 0.000 0.000 0.500
Se1 0.000 0.000 0.000
Se2 0.000 0.000 0.203
Se3 0.000 0.000 0.408
```

---

Compound: TaCrIn
Source: Alexandria
Functional: GGA-PBE
Structure: optimized geometry

Properties
polymorph energy (0 for the lowest one) = 0.217 eV/atom
energy = -45.857 eV/cell
magnetization = 0.0 μB/cell
ΔH_f (0 K) = 1.3 eV/f.u.

Geometry as CIF:
```
data_TaCrIn
_cell_length_a 2.798
_cell_length_b 4.229
_cell_length_c 8.630
_cell_angle_alpha 90.00
_cell_angle_beta 90.00
_cell_angle_gamma 90.00
_space_group_name_H-M_alt 'I m m 2'
_space_group_IT_number 44
_space_group_name_Hall 'I 2 -2'
loop_
_atom_site_label
_atom_site_fract_x
_atom_site_fract_y
_atom_site_fract_z
Ta1 0.000 0.000 0.000
Cr1 0.000 0.000 0.334
In1 0.000 0.000 0.673
```

---

Compound: Tb3PmPr2P6
Source: Alexandria
Functional: GGA-PBE
Structure: optimized geometry

Properties
energy = -158.867 eV/cell
magnetization = 0.0 μB/cell
ΔH_f (0 K) = -18.8 eV/f.u.

Geometry as CIF:
```
data_Tb3PmPr2P6
_cell_length_a 17.887
_cell_length_b 4.107
_cell_length_c 8.207
_cell_angle_alpha 90.00
_cell_angle_beta 103.25
_cell_angle_gamma 90.00
_space_group_name_H-M_alt 'C 1 2/m 1'
_space_group_IT_number 12
_space_group_name_Hall '-C 2y'
loop_
_atom_site_label
_atom_site_fract_x
_atom_site_fract_y
_atom_site_fract_z
Tb1 0.000 0.000 0.000
Tb2 0.167 0.500 0.334
Pm1 0.000 0.000 0.500
Pr1 0.166 0.500 0.833
P1 0.002 0.500 0.247
P2 0.164 0.000 0.089
P3 0.168 0.000 0.577
```

---

Number 6 is which compound?
Ce4Dy3Se8